# La2TeNF PBE relaxed
data_La2TeNF
_cell_length_a 4.1444
_cell_length_b 4.1444
_cell_length_c 13.3524
_cell_angle_alpha 90.00
_cell_angle_beta 90.00
_cell_angle_gamma 90.00
_symmetry_space_group_name_H-M 'I -4 m 2'
_symmetry_Int_Tables_number 119
_symmetry_space_group_name_Hall 'I -4 -2'
loop_
_atom_site_label
_atom_site_fract_x
_atom_site_fract_y
_atom_site_fract_z
_atom_site_occupancy
La1 0.0000 0.0000 0.1551 1
Te1 0.0000 0.0000 0.5000 1
N1 0.0000 0.5000 0.7500 1
F1 0.0000 0.5000 0.2500 1
# Volume = 229 Å³ per cell
# VASP energy = -6.93 eV/atom
# Energy relative to the elements, uncorrected = -2295 meV per atom
# Total magnetization = 0.00 μB/cell